[1]
# Cs2RhF7, optimized geometry, DFT GGA-PBE
# Formation energy (no corrections) in eV per formula unit: -19.86
# Space group: C2/c, No. 15
# Energy above the lowest structure with this stoichiometry in meV/atom: 0
data_Cs2RhF7
_cell_length_a 6.3239
_cell_length_b 8.8194
_cell_length_c 8.1879
_cell_angle_alpha 80.25
_cell_angle_beta 67.28
_cell_angle_gamma 68.99
_space_group_name_H-M_alt 'P 1'
_space_group_IT_number 1
_space_group_name_Hall 'P 1'
loop_
_atom_site_label
_atom_site_fract_x
_atom_site_fract_y
_atom_site_fract_z
_atom_site_occupancy
Cs1 0.6286 0.9285 0.7356 1
Cs2 0.7073 0.4285 0.2356 1
Cs3 0.2927 0.5715 0.7644 1
Cs4 0.3714 0.0715 0.2644 1
Rh1 0.9742 0.2500 0.7500 1
Rh2 0.0258 0.7500 0.2500 1
F1 0.8174 0.4788 0.8269 1
F2 0.8769 0.9788 0.3269 1
F3 0.1971 0.8289 0.0161 1
F4 0.2946 0.2677 0.5966 1
F5 0.6644 0.2500 0.7500 1
F6 0.9579 0.3289 0.5161 1
F7 0.1590 0.2323 0.9034 1
F8 0.8410 0.7677 0.0966 1
F9 0.0421 0.6711 0.4839 1
F10 0.3356 0.7500 0.2500 1
F11 0.7054 0.7323 0.4034 1
F12 0.8029 0.1711 0.9839 1
F13 0.1231 0.0212 0.6731 1
F14 0.1826 0.5212 0.1731 1



[2]
# Re2MoP, optimized geometry, DFT GGA-PBE
# Space group: R-3m, No. 166
# Uncorrected energy in eV per atom: -10.185
data_Re2MoP
_cell_length_a 8.4236
_cell_length_b 8.4236
_cell_length_c 8.4236
_cell_angle_alpha 19.49
_cell_angle_beta 19.49
_cell_angle_gamma 19.49
_space_group_name_H-M_alt 'P 1'
_space_group_IT_number 1
_space_group_name_Hall 'P 1'
loop_
_atom_site_label
_atom_site_fract_x
_atom_site_fract_y
_atom_site_fract_z
_atom_site_occupancy
Re1 0.7427 0.7427 0.7427 1
Re2 0.2573 0.2573 0.2573 1
Mo1 0.5000 0.5000 0.5000 1
P1 0.0000 0.0000 0.0000 1



[3]
# SrTmS2, optimized geometry, DFT GGA-PBE
# Formation energy (no corrections) in eV per formula unit: -7.72
# Space group: R3m, No. 160
# Energy above the lowest structure with this stoichiometry in meV/atom: 79
data_SrTmS2
_cell_length_a 3.9428
_cell_length_b 3.9428
_cell_length_c 7.3833
_cell_angle_alpha 74.51
_cell_angle_beta 74.51
_cell_angle_gamma 60.00
_space_group_name_H-M_alt 'P 1'
_space_group_IT_number 1
_space_group_name_Hall 'P 1'
loop_
_atom_site_label
_atom_site_fract_x
_atom_site_fract_y
_atom_site_fract_z
_atom_site_occupancy
Sr1 0.4955 0.4955 0.5135 1
Tm1 0.6703 0.6703 0.9891 1
S1 0.0739 0.0739 0.7783 1
S2 0.2603 0.2603 0.2191 1



[4]
# TlCF3, optimized geometry, DFT GGA-PBE
# Formation energy (no corrections) in eV per formula unit: 0.54
# Space group: Pm-3m, No. 221
# Energy above the lowest structure with this stoichiometry in meV/atom: 451
data_TlCF3
_cell_length_a 4.4412
_cell_length_b 4.4412
_cell_length_c 4.4412
_cell_angle_alpha 90.00
_cell_angle_beta 90.00
_cell_angle_gamma 90.00
_space_group_name_H-M_alt 'P 1'
_space_group_IT_number 1
_space_group_name_Hall 'P 1'
loop_
_atom_site_label
_atom_site_fract_x
_atom_site_fract_y
_atom_site_fract_z
_atom_site_occupancy
Tl1 0.0000 0.0000 0.0000 1
C1 0.5000 0.5000 0.5000 1
F1 0.0000 0.5000 0.0000 1
F2 0.0000 0.0000 0.5000 1
F3 0.5000 0.0000 0.0000 1



[5]
# CaNd2S4, optimized geometry, DFT GGA-PBE
# Formation energy (no corrections) in eV per formula unit: -14.16
# Space group: Cmcm, No. 63
# Energy above the lowest structure with this stoichiometry in meV/atom: 55
data_CaNd2S4
_cell_length_a 4.0166
_cell_length_b 6.9775
_cell_length_c 13.6106
_cell_angle_alpha 90.00
_cell_angle_beta 90.00
_cell_angle_gamma 106.73
_space_group_name_H-M_alt 'P 1'
_space_group_IT_number 1
_space_group_name_Hall 'P 1'
loop_
_atom_site_label
_atom_site_fract_x
_atom_site_fract_y
_atom_site_fract_z
_atom_site_occupancy
Ca1 0.6145 0.2289 0.7500 1
Ca2 0.3855 0.7711 0.2500 1
Nd1 0.1334 0.2669 0.4264 1
Nd2 0.8666 0.7331 0.9264 1
Nd3 0.1334 0.2669 0.0736 1
Nd4 0.8666 0.7331 0.5736 1
S1 0.7734 0.5468 0.1200 1
S2 0.7734 0.5468 0.3800 1
S3 0.2266 0.4532 0.8800 1
S4 0.2266 0.4532 0.6200 1
S5 0.9704 0.9409 0.7500 1
S6 0.0296 0.0591 0.2500 1
S7 0.5000 0.0000 0.0000 1
S8 0.5000 0.0000 0.5000 1



[6]
# EuCuH2, optimized geometry, DFT GGA-PBE
# Space group: R-3m, No. 166
# Uncorrected energy in eV per atom: -5.360
data_EuCuH2
_cell_length_a 4.1344
_cell_length_b 4.1344
_cell_length_c 4.1501
_cell_angle_alpha 60.12
_cell_angle_beta 60.12
_cell_angle_gamma 60.00
_space_group_name_H-M_alt 'P 1'
_space_group_IT_number 1
_space_group_name_Hall 'P 1'
loop_
_atom_site_label
_atom_site_fract_x
_atom_site_fract_y
_atom_site_fract_z
_atom_site_occupancy
Eu1 0.0000 0.0000 0.0000 1
H1 0.7508 0.7508 0.7475 1
H2 0.2492 0.2492 0.2525 1
Cu1 0.5000 0.5000 0.5000 1



[7]
# LaMnIn2, optimized geometry, DFT GGA-PBE
# Space group: Imm2, No. 44
# Uncorrected energy in eV per atom: -4.883
data_LaMnIn2
_cell_length_a 7.2355
_cell_length_b 7.2355
_cell_length_c 7.2355
_cell_angle_alpha 153.17
_cell_angle_beta 142.96
_cell_angle_gamma 46.32
_space_group_name_H-M_alt 'P 1'
_space_group_IT_number 1
_space_group_name_Hall 'P 1'
loop_
_atom_site_label
_atom_site_fract_x
_atom_site_fract_y
_atom_site_fract_z
_atom_site_occupancy
In1 0.0745 0.0745 0.0000 1
In2 0.7376 0.2376 0.5000 1
La1 0.4446 0.4446 0.0000 1
Mn1 0.2432 0.7432 0.5000 1



[8]
# TbAlZnHg, optimized geometry, DFT GGA-PBE
# Space group: F-43m, No. 216
# Uncorrected energy in eV per atom: -2.761
data_TbAlZnHg
_cell_length_a 4.9105
_cell_length_b 4.9105
_cell_length_c 4.9105
_cell_angle_alpha 60.00
_cell_angle_beta 60.00
_cell_angle_gamma 60.00
_space_group_name_H-M_alt 'P 1'
_space_group_IT_number 1
_space_group_name_Hall 'P 1'
loop_
_atom_site_label
_atom_site_fract_x
_atom_site_fract_y
_atom_site_fract_z
_atom_site_occupancy
Zn1 0.5000 0.5000 0.5000 1
Tb1 0.2500 0.2500 0.2500 1
Hg1 0.0000 0.0000 0.0000 1
Al1 0.7500 0.7500 0.7500 1



[9]
# K2InRh, optimized geometry, DFT GGA-PBE
# Space group: Cmmm, No. 65
# Uncorrected energy in eV per atom: -2.831
data_K2InRh
_cell_length_a 3.5004
_cell_length_b 9.3099
_cell_length_c 9.3080
_cell_angle_alpha 32.15
_cell_angle_beta 90.00
_cell_angle_gamma 90.00
_space_group_name_H-M_alt 'P 1'
_space_group_IT_number 1
_space_group_name_Hall 'P 1'
loop_
_atom_site_label
_atom_site_fract_x
_atom_site_fract_y
_atom_site_fract_z
_atom_site_occupancy
In1 0.5000 0.7500 0.7500 1
K1 0.0000 0.1087 0.1085 1
K2 0.0000 0.3913 0.3915 1
Rh1 0.5000 0.2500 0.2500 1



[10]
# Li3In2Hg6, optimized geometry, DFT GGA-PBE
# Space group: I4/mmm, No. 139
# Energy above the lowest structure with this stoichiometry in meV/atom: 73
data_Li3In2Hg6
_cell_length_a 4.3471
_cell_length_b 4.3471
_cell_length_c 14.0561
_cell_angle_alpha 98.90
_cell_angle_beta 98.90
_cell_angle_gamma 90.00
_space_group_name_H-M_alt 'P 1'
_space_group_IT_number 1
_space_group_name_Hall 'P 1'
loop_
_atom_site_label
_atom_site_fract_x
_atom_site_fract_y
_atom_site_fract_z
_atom_site_occupancy
Li1 0.0000 0.0000 0.0000 1
Li2 0.8723 0.8723 0.7446 1
Li3 0.1277 0.1277 0.2554 1
In1 0.3367 0.3367 0.6735 1
In2 0.6633 0.6633 0.3265 1
Hg1 0.0623 0.5623 0.1247 1
Hg2 0.5623 0.0623 0.1247 1
Hg3 0.9377 0.4377 0.8753 1
Hg4 0.4377 0.9377 0.8753 1
Hg5 0.7752 0.7752 0.5503 1
Hg6 0.2248 0.2248 0.4497 1



[11]
# AcDy4Bi5, optimized geometry, DFT GGA-PBE
# Space group: C2/m, No. 12
# Uncorrected energy in eV per atom: -5.060
data_AcDy4Bi5
_cell_length_a 4.5613
_cell_length_b 7.8882
_cell_length_c 10.2014
_cell_angle_alpha 75.10
_cell_angle_beta 77.08
_cell_angle_gamma 73.19
_space_group_name_H-M_alt 'P 1'
_space_group_IT_number 1
_space_group_name_Hall 'P 1'
loop_
_atom_site_label
_atom_site_fract_x
_atom_site_fract_y
_atom_site_fract_z
_atom_site_occupancy
Ac1 0.0000 0.0000 0.0000 1
Dy1 0.5948 0.2069 0.6035 1
Dy2 0.2026 0.3872 0.2077 1
Dy3 0.7974 0.6128 0.7923 1
Dy4 0.4052 0.7931 0.3965 1
Bi1 0.2050 0.9045 0.6855 1
Bi2 0.7950 0.0955 0.3145 1
Bi3 0.3897 0.3266 0.8940 1
Bi4 0.0000 0.5000 0.5000 1
Bi5 0.6103 0.6734 0.1060 1



[12]
# MnCrCo, optimized geometry, DFT GGA-PBE
# Space group: Imm2, No. 44
# Energy above the lowest structure with this stoichiometry in meV/atom: 35
data_MnCrCo
_cell_length_a 4.3711
_cell_length_b 4.3711
_cell_length_c 4.3711
_cell_angle_alpha 147.11
_cell_angle_beta 132.27
_cell_angle_gamma 59.18
_space_group_name_H-M_alt 'P 1'
_space_group_IT_number 1
_space_group_name_Hall 'P 1'
loop_
_atom_site_label
_atom_site_fract_x
_atom_site_fract_y
_atom_site_fract_z
_atom_site_occupancy
Co1 0.0012 0.0012 0.0000 1
Cr1 0.3347 0.3347 0.0000 1
Mn1 0.6641 0.6641 0.0000 1



[13]
# Sc2TcMo, optimized geometry, DFT GGA-PBE
# Space group: I-42d, No. 122
# Energy above the lowest structure with this stoichiometry in meV/atom: 692
data_Sc2TcMo
_cell_length_a 7.2745
_cell_length_b 7.2745
_cell_length_c 5.8641
_cell_angle_alpha 51.67
_cell_angle_beta 51.67
_cell_angle_gamma 90.00
_space_group_name_H-M_alt 'P 1'
_space_group_IT_number 1
_space_group_name_Hall 'P 1'
loop_
_atom_site_label
_atom_site_fract_x
_atom_site_fract_y
_atom_site_fract_z
_atom_site_occupancy
Sc1 0.6406 0.1250 0.2500 1
Sc2 0.1094 0.6250 0.2500 1
Sc3 0.3750 0.3594 0.7500 1
Sc4 0.8750 0.8906 0.7500 1
Mo1 0.5000 0.5000 0.0000 1
Mo2 0.2500 0.7500 0.5000 1
Tc1 0.0000 0.0000 0.0000 1
Tc2 0.7500 0.2500 0.5000 1



[14]
# Sn2CCl, optimized geometry, DFT GGA-PBE
# Formation energy (no corrections) in eV per formula unit: 4.16
# Space group: Fm-3m, No. 225
# Energy above the lowest structure with this stoichiometry in meV/atom: 508
data_Sn2CCl
_cell_length_a 4.8234
_cell_length_b 4.8234
_cell_length_c 4.8234
_cell_angle_alpha 60.00
_cell_angle_beta 60.00
_cell_angle_gamma 60.00
_space_group_name_H-M_alt 'P 1'
_space_group_IT_number 1
_space_group_name_Hall 'P 1'
loop_
_atom_site_label
_atom_site_fract_x
_atom_site_fract_y
_atom_site_fract_z
_atom_site_occupancy
C1 0.0000 0.0000 0.0000 1
Sn1 0.2500 0.2500 0.2500 1
Sn2 0.7500 0.7500 0.7500 1
Cl1 0.5000 0.5000 0.5000 1



[15]
# CaYHo2As4, optimized geometry, DFT GGA-PBE
# Space group: P2/m, No. 10
# Uncorrected energy in eV per atom: -5.901
data_CaYHo2As4
_cell_length_a 4.1225
_cell_length_b 7.1852
_cell_length_c 7.1788
_cell_angle_alpha 70.74
_cell_angle_beta 90.00
_cell_angle_gamma 90.00
_space_group_name_H-M_alt 'P 1'
_space_group_IT_number 1
_space_group_name_Hall 'P 1'
loop_
_atom_site_label
_atom_site_fract_x
_atom_site_fract_y
_atom_site_fract_z
_atom_site_occupancy
Ca1 0.5000 0.5000 0.0000 1
Y1 0.0000 0.5000 0.5000 1
Ho1 0.0000 0.0000 0.0000 1
Ho2 0.5000 0.0000 0.5000 1
As1 0.0000 0.7584 0.7430 1
As2 0.0000 0.2416 0.2570 1
As3 0.5000 0.7545 0.2519 1
As4 0.5000 0.2455 0.7481 1



[16]
# KFe3C, optimized geometry, DFT GGA-PBE
# Space group: Pm-3m, No. 221
# Energy above the lowest structure with this stoichiometry in meV/atom: 0
data_KFe3C
_cell_length_a 4.0240
_cell_length_b 4.0240
_cell_length_c 4.0240
_cell_angle_alpha 90.00
_cell_angle_beta 90.00
_cell_angle_gamma 90.00
_space_group_name_H-M_alt 'P 1'
_space_group_IT_number 1
_space_group_name_Hall 'P 1'
loop_
_atom_site_label
_atom_site_fract_x
_atom_site_fract_y
_atom_site_fract_z
_atom_site_occupancy
C1 0.0000 0.0000 0.0000 1
K1 0.5000 0.5000 0.5000 1
Fe1 0.0000 0.5000 0.0000 1
Fe2 0.0000 0.0000 0.5000 1
Fe3 0.5000 0.0000 0.0000 1



[17]
# VSbSI2, optimized geometry, DFT GGA-PBE
# Formation energy (no corrections) in eV per formula unit: 5.84
# Space group: P4/mmm, No. 123
# Energy above the lowest structure with this stoichiometry in meV/atom: 657
data_VSbSI2
_cell_length_a 5.4906
_cell_length_b 5.4906
_cell_length_c 5.2176
_cell_angle_alpha 90.00
_cell_angle_beta 90.00
_cell_angle_gamma 90.00
_space_group_name_H-M_alt 'P 1'
_space_group_IT_number 1
_space_group_name_Hall 'P 1'
loop_
_atom_site_label
_atom_site_fract_x
_atom_site_fract_y
_atom_site_fract_z
_atom_site_occupancy
I1 0.0000 0.5000 0.0000 1
I2 0.5000 0.0000 0.0000 1
Sb1 0.0000 0.0000 0.5000 1
S1 0.0000 0.0000 0.0000 1
V1 0.5000 0.5000 0.5000 1



[18]
# MgTl2Cd, optimized geometry, DFT GGA-PBE
# Space group: P3m1, No. 156
# Energy above the lowest structure with this stoichiometry in meV/atom: 47
data_MgTl2Cd
_cell_length_a 3.4563
_cell_length_b 3.4563
_cell_length_c 10.4489
_cell_angle_alpha 90.00
_cell_angle_beta 90.00
_cell_angle_gamma 120.00
_space_group_name_H-M_alt 'P 1'
_space_group_IT_number 1
_space_group_name_Hall 'P 1'
loop_
_atom_site_label
_atom_site_fract_x
_atom_site_fract_y
_atom_site_fract_z
_atom_site_occupancy
Mg1 0.0000 0.0000 0.0068 1
Tl1 0.6667 0.3333 0.2423 1
Tl2 0.3333 0.6667 0.7705 1
Cd1 0.6667 0.3333 0.5253 1



[19]
# ScGa3Br6, optimized geometry, DFT GGA-PBE
# Formation energy (no corrections) in eV per formula unit: -9.99
# Space group: P2_1/c, No. 14
data_ScGa3Br6
_cell_length_a 7.2313
_cell_length_b 8.2376
_cell_length_c 10.7451
_cell_angle_alpha 90.00
_cell_angle_beta 93.35
_cell_angle_gamma 90.00
_space_group_name_H-M_alt 'P 1'
_space_group_IT_number 1
_space_group_name_Hall 'P 1'
loop_
_atom_site_label
_atom_site_fract_x
_atom_site_fract_y
_atom_site_fract_z
_atom_site_occupancy
Sc1 0.5000 0.5000 0.5000 1
Sc2 0.0000 0.0000 0.0000 1
Ga1 0.4768 0.0900 0.7878 1
Ga2 0.5000 0.5000 0.0000 1
Ga3 0.5232 0.9100 0.2122 1
Ga4 0.9768 0.4100 0.2878 1
Ga5 0.0000 0.0000 0.5000 1
Ga6 0.0232 0.5900 0.7122 1
Br1 0.3083 0.8331 0.9584 1
Br2 0.3391 0.7704 0.5801 1
Br3 0.3641 0.5626 0.2683 1
Br4 0.6359 0.4374 0.7317 1
Br5 0.6609 0.2296 0.4199 1
Br6 0.6917 0.1669 0.0416 1
Br7 0.8083 0.6669 0.4584 1
Br8 0.8391 0.7296 0.0801 1
Br9 0.8641 0.9374 0.7683 1
Br10 0.1359 0.0626 0.2317 1
Br11 0.1609 0.2704 0.9199 1
Br12 0.1917 0.3331 0.5416 1